# MgAl6FeSi2B2O18

An optimized crystal structure of MgAl6FeSi2B2O18 (PBE with a Hubbard U, Alexandria via LeMat-Bulk).

Summary:
DFT total energy = -7.5662 eV/atom
mass density = 2970 kg/m³
crystal system = orthorhombic
Fermi-level density of states = 0.00 states/eV per cell

Cell lengths 5.8355, 10.4293, 11.1693 Å; angles 90.00, 90.00, 90.00 degrees
Closest atoms and distances in Å follow each position.
Atoms (fractional coordinates):
Al1 0.7500 0.2487 0.5016  6 O 1.90-1.93
B1 0.5000 0.9980 0.4985  3 O 1.35-1.38
O1 0.7757 0.7583 0.8312  1 Si 1.64
O2 0.7272 0.7459 0.1712  1 Si 1.63
Fe1 0.5000 0.6587 0.7815  4 O 1.99-2.12
Al2 0.2500 0.7513 0.0016  6 O 1.90-1.93
Mg1 0.0000 0.1575 0.7201  4 O 1.96-2.07
Si1 0.5000 0.6856 0.2355  4 O 1.63-1.67
Fe2 0.5000 0.3413 0.2815  4 O 1.99-2.12
O3 0.2961 0.9300 0.4986  1 B 1.38
O4 0.7963 0.4316 0.9996  1 B 1.39
O5 0.0000 0.3703 0.5054  1 B 1.36
O6 0.0000 0.0244 0.2891  1 Si 1.68, 1 Al 1.85
O7 0.5000 0.2970 0.0959  3 Al 1.88-1.94
O8 0.2961 0.0700 0.9986  1 B 1.38
Al3 0.0000 0.0240 0.9480  5 O 1.82-1.95
O9 0.5000 0.4721 0.7088  1 Si 1.67, 1 Al 1.83
Si2 0.0000 0.8175 0.7631  4 O 1.64-1.68
O10 0.2728 0.7459 0.1712  1 Si 1.63
Al4 0.7500 0.7513 0.0016  6 O 1.90-1.93
O11 0.5000 0.3665 0.4812  3 Al 1.82-1.92
O12 0.2728 0.2541 0.6712  1 Si 1.63
O13 0.2037 0.4316 0.9996  1 B 1.39
Si3 0.0000 0.1825 0.2631  4 O 1.64-1.68
O14 0.0000 0.1303 0.5233  3 Al 1.82-1.93
Al5 0.7497 0.7492 0.4983  6 O 1.88-2.02
O15 0.7963 0.5684 0.4996  1 B 1.39
O16 0.2243 0.2417 0.3312  1 Si 1.64
Al6 0.2503 0.7492 0.4983  6 O 1.88-2.02
Si4 0.5000 0.3144 0.7355  4 O 1.63-1.67
Al7 0.5000 0.4769 0.0521  5 O 1.82-1.94
O17 0.0000 0.2222 0.1205  1 Si 1.65
B2 0.0000 0.5002 0.5008  3 O 1.36-1.39
O18 0.7039 0.9300 0.4986  1 B 1.38
Al8 0.7497 0.2508 0.9983  6 O 1.88-2.02
O19 0.5000 0.5279 0.2088  1 Si 1.67, 1 Al 1.83
O20 0.5000 0.8722 0.9960  1 B 1.35
O21 0.5000 0.7030 0.5959  3 Al 1.88-1.94
Al9 0.2500 0.2487 0.5016  6 O 1.90-1.93
O22 0.7039 0.0700 0.9986  1 B 1.38
O23 0.2037 0.5684 0.4996  1 B 1.39
O24 0.5000 0.7227 0.3787  1 Si 1.65
Al10 0.0000 0.9760 0.4480  5 O 1.82-1.95
O25 0.5000 0.6335 0.9812  3 Al 1.82-1.92
B3 0.0000 0.4998 0.0008  3 O 1.36-1.39
O26 0.0000 0.2039 0.9005  3 Al 1.89-1.95, 1 Mg 2.07
Mg2 0.0000 0.8425 0.2201  4 O 1.96-2.07
Al11 0.5000 0.5231 0.5521  5 O 1.82-1.94
O27 0.0000 0.9756 0.7891  1 Si 1.68, 1 Al 1.85
O28 0.0000 0.8697 0.0233  3 Al 1.82-1.93
O29 0.0000 0.6297 0.0054  1 B 1.36
O30 0.5000 0.2773 0.8787  1 Si 1.65
O31 0.5000 0.1278 0.4960  1 B 1.35
B4 0.5000 0.0020 0.9985  3 O 1.35-1.38
O32 0.7757 0.2417 0.3312  1 Si 1.64
Al12 0.2503 0.2508 0.9983  6 O 1.88-2.02
O33 0.2243 0.7583 0.8312  1 Si 1.64
O34 0.0000 0.7778 0.6205  1 Si 1.65
O35 0.0000 0.7961 0.4005  3 Al 1.89-1.95, 1 Mg 2.07
O36 0.7272 0.2541 0.6712  1 Si 1.63